(1)
KYMn2 | PBE | optimized geometry

Lattice parameters (Å, degrees): 5.7568 5.7568 5.7568 132.85 132.85 68.89
Closest atoms and distances in Å follow each position.
Fractional coordinates of all 4 atoms:
K 0.7500 0.2500 0.5000  8 Mn 3.26-3.31, 4 Y 3.31
Mn 0.0000 0.0000 0.0000  4 Y 3.26, 4 Mn 3.31, 4 K 3.31
Mn 0.2500 0.7500 0.5000  4 K 3.26, 4 Mn 3.31, 4 Y 3.31
Y 0.5000 0.5000 0.0000  8 Mn 3.26-3.31, 4 K 3.31

Properties
SG: I-4m2, No. 119
Energy relative to the lowest polymorph listed for this composition: 476 meV per atom
Formation energy from the elements: 92 kJ/mol of atoms

(2)
Sc2CrPt2 | PBE | optimized geometry

Lattice parameters (Å, degrees): 6.5196 6.5196 4.2391 90.00 90.00 90.00
Closest atoms and distances in Å follow each position.
Fractional coordinates of all 10 atoms:
Sc 0.1723 0.6723 0.5000  6 Pt 2.71-2.96
Sc 0.6723 0.8277 0.5000  6 Pt 2.71-2.96
Sc 0.8277 0.3277 0.5000  6 Pt 2.71-2.96
Sc 0.3277 0.1723 0.5000  6 Pt 2.71-2.96
Cr 0.0000 0.0000 0.0000  4 Pt 2.50
Cr 0.5000 0.5000 0.0000  4 Pt 2.50
Pt 0.3562 0.8562 0.0000  2 Cr 2.50, 1 Pt 2.65, 2 Sc 2.71
Pt 0.8562 0.6438 0.0000  2 Cr 2.50, 1 Pt 2.65, 2 Sc 2.71
Pt 0.6438 0.1438 0.0000  2 Cr 2.50, 1 Pt 2.65, 2 Sc 2.71
Pt 0.1438 0.3562 0.0000  2 Cr 2.50, 1 Pt 2.65, 2 Sc 2.71

Properties
SG: P4/mbm, No. 127
Energy relative to the lowest polymorph listed for this composition: 0 meV per atom
Formation energy from the elements: -57 kJ/mol of atoms

What did the second record say?
Sc2CrPt2 | PBE | optimized geometry

Lattice parameters (Å, degrees): 6.5196 6.5196 4.2391 90.00 90.00 90.00
Closest atoms and distances in Å follow each position.
Fractional coordinates of all 10 atoms:
Sc 0.1723 0.6723 0.5000  6 Pt 2.71-2.96
Sc 0.6723 0.8277 0.5000  6 Pt 2.71-2.96
Sc 0.8277 0.3277 0.5000  6 Pt 2.71-2.96
Sc 0.3277 0.1723 0.5000  6 Pt 2.71-2.96
Cr 0.0000 0.0000 0.0000  4 Pt 2.50
Cr 0.5000 0.5000 0.0000  4 Pt 2.50
Pt 0.3562 0.8562 0.0000  2 Cr 2.50, 1 Pt 2.65, 2 Sc 2.71
Pt 0.8562 0.6438 0.0000  2 Cr 2.50, 1 Pt 2.65, 2 Sc 2.71
Pt 0.6438 0.1438 0.0000  2 Cr 2.50, 1 Pt 2.65, 2 Sc 2.71
Pt 0.1438 0.3562 0.0000  2 Cr 2.50, 1 Pt 2.65, 2 Sc 2.71

Properties
SG: P4/mbm, No. 127
Energy relative to the lowest polymorph listed for this composition: 0 meV per atom
Formation energy from the elements: -57 kJ/mol of atoms

Repeat the second record exactly.
Sc2CrPt2 | PBE | optimized geometry

Lattice parameters (Å, degrees): 6.5196 6.5196 4.2391 90.00 90.00 90.00
Closest atoms and distances in Å follow each position.
Fractional coordinates of all 10 atoms:
Sc 0.1723 0.6723 0.5000  6 Pt 2.71-2.96
Sc 0.6723 0.8277 0.5000  6 Pt 2.71-2.96
Sc 0.8277 0.3277 0.5000  6 Pt 2.71-2.96
Sc 0.3277 0.1723 0.5000  6 Pt 2.71-2.96
Cr 0.0000 0.0000 0.0000  4 Pt 2.50
Cr 0.5000 0.5000 0.0000  4 Pt 2.50
Pt 0.3562 0.8562 0.0000  2 Cr 2.50, 1 Pt 2.65, 2 Sc 2.71
Pt 0.8562 0.6438 0.0000  2 Cr 2.50, 1 Pt 2.65, 2 Sc 2.71
Pt 0.6438 0.1438 0.0000  2 Cr 2.50, 1 Pt 2.65, 2 Sc 2.71
Pt 0.1438 0.3562 0.0000  2 Cr 2.50, 1 Pt 2.65, 2 Sc 2.71

Properties
SG: P4/mbm, No. 127
Energy relative to the lowest polymorph listed for this composition: 0 meV per atom
Formation energy from the elements: -57 kJ/mol of atoms